VASP calculation (PBE) on a geometry-optimized PuNb3 structure.

DFT formation energy = 1.1 eV per formula unit
Offset from the most stable computed form = 121 meV per atom
Space group = Pmm2 (25)
M_tot = 4.63 μB per formula unit
Crystal system = orthorhombic
Volume = 78.55 Å³ per cell

Unit cell a=2.7793 b=5.0348 c=5.6136 alpha=90.00 beta=90.00 gamma=90.00
Last column: nearest neighbours and their distance in Å.
Element x y z (fractional)
1 Nb 0.5000 0.0000 0.5334  4 Nb 2.78-2.91, 2 Pu 3.09
2 Nb 0.5000 0.5000 0.7925  6 Nb 2.78-3.10
3 Nb 0.0000 0.5000 0.2983  4 Nb 2.78-3.10, 2 Pu 2.90
4 Pu 0.0000 0.0000 0.0425  2 Pu 2.78, 4 Nb 2.90-3.09